# Zn2SeBrO, optimized geometry, DFT GGA-PBE
# **Energy above the most stable polymorph in this dataset**: 0.00 eV/f.u.
# **Formation energy without anion corrections**: 0.12 eV per atom
# **Total moment**: 0.00 Bohr magnetons per cell
data_Zn2SeBrO
_chemical_formula_sum 'Zn2 Se1 Br1 O1'
_space_group_name_H-M_alt 'P 4/m m m'
_space_group_IT_number 123
_space_group_name_Hall '-P 4 2'
_cell_length_a 4.5996
_cell_length_b 4.5996
_cell_length_c 4.4684
_cell_angle_alpha 90.00
_cell_angle_beta 90.00
_cell_angle_gamma 90.00
loop_
_atom_site_label
_atom_site_type_symbol
_atom_site_fract_x
_atom_site_fract_y
_atom_site_fract_z
Zn1 Zn 0.0000 0.5000 0.0000
Se1 Se 0.0000 0.0000 0.5000
Br1 Br 0.5000 0.5000 0.5000
O1 O 0.0000 0.0000 0.0000

=====

# ZnSe2BrO, optimized geometry, DFT GGA-PBE
# **Energy above the most stable polymorph in this dataset**: 2.27 eV/f.u.
# **Formation energy without anion corrections**: 0.94 eV per atom
# **Total moment**: 0.00 Bohr magnetons per cell
data_ZnSe2BrO
_chemical_formula_sum 'Zn1 Se2 Br1 O1'
_space_group_name_H-M_alt 'P 4/m m m'
_space_group_IT_number 123
_space_group_name_Hall '-P 4 2'
_cell_length_a 4.9258
_cell_length_b 4.9258
_cell_length_c 4.9160
_cell_angle_alpha 90.00
_cell_angle_beta 90.00
_cell_angle_gamma 90.00
loop_
_atom_site_label
_atom_site_type_symbol
_atom_site_fract_x
_atom_site_fract_y
_atom_site_fract_z
Zn1 Zn 0.0000 0.0000 0.0000
Se1 Se 0.0000 0.5000 0.0000
Br1 Br 0.0000 0.0000 0.5000
O1 O 0.5000 0.5000 0.5000

=====

# ZrSe2BrO, optimized geometry, DFT GGA-PBE
# **Energy above the most stable polymorph in this dataset**: 0.00 eV/f.u.
# **Formation energy without anion corrections**: -0.01 eV per atom
# **Total moment**: 0.57 Bohr magnetons per cell
data_ZrSe2BrO
_chemical_formula_sum 'Zr1 Se2 Br1 O1'
_space_group_name_H-M_alt 'P 4/m m m'
_space_group_IT_number 123
_space_group_name_Hall '-P 4 2'
_cell_length_a 4.2030
_cell_length_b 4.2030
_cell_length_c 5.4435
_cell_angle_alpha 90.00
_cell_angle_beta 90.00
_cell_angle_gamma 90.00
loop_
_atom_site_label
_atom_site_type_symbol
_atom_site_fract_x
_atom_site_fract_y
_atom_site_fract_z
Zr1 Zr 0.0000 0.0000 0.0000
Se1 Se 0.0000 0.5000 0.5000
Br1 Br 0.5000 0.5000 0.0000
O1 O 0.5000 0.5000 0.5000